*P*
The following is a DFT calculation (SCAN) of Ir2Pb at its PBEsol-relaxed geometry.

Calculated values
- Magnetic moment: 0.00 μB per formula unit

Lattice parameters (Å, degrees): 3.5433 3.5433 4.8442 111.45 111.45 90.00
Fractional positions:
Ir (0.6761, 0.6761, 0.3521)
Ir (0.3239, 0.3239, 0.6479)
Pb (0.0000, 0.0000, 0.0000)



*Q*
The following is a DFT calculation (SCAN) of Ir2Pb at its PBEsol-relaxed geometry.

Calculated values
- Magnetic moment: 0.00 μB per formula unit

Lattice parameters (Å, degrees): 4.3496 4.3496 4.3496 60.00 60.00 60.00
Fractional positions:
Ir (0.7500, 0.7500, 0.7500)
Ir (0.2500, 0.2500, 0.2500)
Pb (0.0000, 0.0000, 0.0000)



*R*
The following is a DFT calculation (SCAN) of Ir2Pb at its PBEsol-relaxed geometry.

Calculated values
- Magnetic moment: 0.00 μB per formula unit

Lattice parameters (Å, degrees): 2.8577 5.1536 7.7174 92.66 90.00 106.10
Fractional positions:
Ir (0.0369, 0.0739, 0.0725)
Ir (0.6805, 0.3611, 0.3079)
Ir (0.2670, 0.5340, 0.5774)
Ir (0.4103, 0.8205, 0.2960)
Pb (0.0041, 0.0082, 0.6432)
Pb (0.7678, 0.5356, 0.9364)



Stability, lowest: *Q*



*P*
The following is a DFT calculation (SCAN) of IrPb3 at its PBEsol-relaxed geometry.

Calculated values
- Magnetic moment: 0.00 μB per formula unit

Lattice parameters (Å, degrees): 3.2932 5.8815 5.8815 116.60 100.76 100.76
Fractional positions:
Ir (0.0000, 0.0000, 0.0000)
Pb (0.5000, 0.0000, 0.5000)
Pb (0.5000, 0.5000, 0.0000)
Pb (0.0000, 0.5000, 0.5000)



*Q*
The following is a DFT calculation (SCAN) of IrPb3 at its PBEsol-relaxed geometry.

Calculated values
- Magnetic moment: 0.57 μB per formula unit

Lattice parameters (Å, degrees): 3.3460 3.3343 8.5854 90.00 90.02 90.00
Site moments in Bohr magnetons follow the coordinates.
Fractional positions:
Ir (0.0000, 0.0000, 0.0000)  0.50
Pb (0.4999, 0.5000, 0.8024)  0.01
Pb (0.0000, 0.0000, 0.5000)  0.03
Pb (0.5001, 0.5000, 0.1976)  0.01



*R*
The following is a DFT calculation (SCAN) of IrPb3 at its PBEsol-relaxed geometry.

Calculated values
- Magnetic moment: 0.00 μB per formula unit

Lattice parameters (Å, degrees): 4.5551 4.5551 4.5551 90.00 90.00 90.00
Fractional positions:
Ir (0.0000, 0.0000, 0.0000)
Pb (0.0000, 0.5000, 0.5000)
Pb (0.5000, 0.0000, 0.5000)
Pb (0.5000, 0.5000, 0.0000)



Stability, lowest: *P*



*P*
The following is a DFT calculation (SCAN) of IrPtPb2 at its PBEsol-relaxed geometry.

Calculated values
- Magnetic moment: 0.00 μB per formula unit

Lattice parameters (Å, degrees): 3.0987 5.0008 5.0008 90.00 90.00 90.00
Fractional positions:
Ir (0.5000, 0.0000, 0.0000)
Pb (0.0000, 0.0000, 0.5000)
Pb (0.0000, 0.5000, 0.0000)
Pt (0.5000, 0.5000, 0.5000)



*Q*
The following is a DFT calculation (SCAN) of IrPtPb2 at its PBEsol-relaxed geometry.

Calculated values
- Magnetic moment: 0.00 μB per formula unit

Lattice parameters (Å, degrees): 4.0567 4.0567 5.5292 111.52 111.52 90.00
Fractional positions:
Ir (0.2500, 0.7500, 0.5000)
Pb (0.0000, 0.0000, 0.0000)
Pb (0.7500, 0.2500, 0.5000)
Pt (0.5000, 0.5000, 0.0000)



Stability, lowest: *Q*



*P*
The following is a DFT calculation (SCAN) of SbIr2Pb at its PBEsol-relaxed geometry.

Calculated values
- Magnetic moment: 0.00 μB per formula unit

Lattice parameters (Å, degrees): 3.7052 3.9232 5.5781 90.00 109.40 90.00
Fractional positions:
Ir (0.8357, 0.0000, 0.6714)
Ir (0.6667, 0.5000, 0.3335)
Pb (0.1007, 0.0000, 0.2014)
Sb (0.4014, 0.5000, 0.8029)



*Q*
The following is a DFT calculation (SCAN) of SbIr2Pb at its PBEsol-relaxed geometry.

Calculated values
- Magnetic moment: 0.00 μB per formula unit

Lattice parameters (Å, degrees): 4.7312 4.7312 4.7312 60.00 60.00 60.00
Fractional positions:
Ir (0.0000, 0.0000, 0.0000)
Ir (0.7500, 0.7500, 0.7500)
Pb (0.5000, 0.5000, 0.5000)
Sb (0.2500, 0.2500, 0.2500)



Stability, lowest: *Q*



*P*
The following is a DFT calculation (SCAN) of TaIrPb2 at its PBEsol-relaxed geometry.

Calculated values
- Magnetic moment: 0.00 μB per formula unit

Lattice parameters (Å, degrees): 3.1866 3.1866 8.6077 90.00 89.96 90.00
Fractional positions:
Ir (0.5001, 0.5000, 0.2919)
Pb (0.0010, 0.0000, 0.0486)
Pb (0.4991, 0.5000, 0.7086)
Ta (0.9998, 0.0000, 0.4509)



*Q*
The following is a DFT calculation (SCAN) of TaIrPb2 at its PBEsol-relaxed geometry.

Calculated values
- Magnetic moment: 0.00 μB per formula unit

Lattice parameters (Å, degrees): 3.0950 5.1565 5.4815 106.56 90.00 107.46
Fractional positions:
Ir (0.5000, 0.0000, 0.0000)
Pb (0.7619, 0.5239, 0.7554)
Pb (0.2381, 0.4761, 0.2446)
Ta (0.0000, 0.0000, 0.5000)



Stability, lowest: *Q*



*P*
The following is a DFT calculation (SCAN) of TeIr2Pb at its PBEsol-relaxed geometry.

Calculated values
- Magnetic moment: 0.00 μB per formula unit

Lattice parameters (Å, degrees): 3.0849 5.3238 5.5931 118.42 106.01 90.00
Fractional positions:
Ir (0.7405, 0.7405, 0.4809)
Ir (0.2595, 0.2595, 0.5191)
Pb (0.5000, 0.0000, 0.0000)
Te (0.0000, 0.5000, 0.0000)



*Q*
The following is a DFT calculation (SCAN) of TeIr2Pb at its PBEsol-relaxed geometry.

Calculated values
- Magnetic moment: 0.00 μB per formula unit

Lattice parameters (Å, degrees): 4.0862 4.0862 6.7329 90.02 107.66 119.97
Fractional positions:
Ir (0.9629, 0.9814, 0.9444)
Ir (0.5500, 0.2750, 0.8250)
Pb (0.0443, 0.5223, 0.5666)
Te (0.4427, 0.7213, 0.1640)



Stability, lowest: *P*